## Fe2Ag (PBE)

Data for a relaxed structure of Fe2Ag.

Calculated values
Raw total energy   -0.39503 Ry/atom
Calculated volume   17.96 Å³/atom
Energy of formation   1.218 eV per atom

Lattice parameters (Å, degrees): 5.9952 5.9952 5.9952 90.00 90.00 90.00
Last column: nearest neighbours and their distance in Å.
Space group Pa-3 (No. 205)
Asymmetric unit:
Fe: 0.1102 0.1102 0.1102  1 Fe 2.29, 3 Ag 2.52
Ag: 0.0000 0.0000 0.5000  6 Fe 2.52